Record 1
The following is a PBE calculation of Sm3SbC after structural relaxation, from the Alexandria database.

Unit cell a=4.2389 b=8.4727 c=8.3675 alpha=79.30 beta=90.00 gamma=104.49
Fractional coordinates of all 10 atoms:
C 0.9021 0.8042 0.1292
Sm 0.6757 0.3514 0.8772
C 0.0979 0.1958 0.8708
Sb 0.3279 0.6557 0.7276
Sm 0.3243 0.6486 0.1228
Sm 0.9557 0.9113 0.8337
Sm 0.8417 0.6834 0.4398
Sm 0.0443 0.0887 0.1663
Sm 0.1583 0.3166 0.5602
Sb 0.6721 0.3443 0.2724


Record 2
The following is a PBE calculation of Sm5Sb4C after structural relaxation, from the Alexandria database.

Unit cell a=6.2613 b=7.4801 c=7.4801 alpha=79.91 beta=65.26 gamma=65.26
Fractional coordinates of all 10 atoms:
Sm 0.4429 0.0000 0.0000
Sb 0.5880 0.6056 0.2254
Sm 0.9065 0.3508 0.8370
Sb 0.4190 0.3944 0.7746
Sm 0.2573 0.8370 0.6492
Sm 0.7436 0.1630 0.3508
Sb 0.1936 0.2254 0.3944
Sb 0.8134 0.7746 0.6056
C 0.0517 0.0000 0.0000
Sm 0.0943 0.6492 0.1630


Record 3
The following is a PBE calculation of Sm12Sb3C5 after structural relaxation, from the Alexandria database.

Unit cell a=14.0362 b=14.0362 c=14.0362 alpha=109.47 beta=109.47 gamma=109.47
Fractional coordinates of all 80 atoms:
Sm 0.6133 0.0180 0.2005
C 0.3750 0.1250 0.7500
Sm 0.8175 0.9047 0.0180
Sm 0.0872 0.1825 0.2005
Sb 0.3750 0.7500 0.6250
Sm 0.8867 0.2995 0.4820
Sm 0.3175 0.7995 0.4128
C 0.5000 0.0000 0.0000
Sm 0.8867 0.5872 0.9047
C 0.3750 0.2500 0.1250
Sb 0.8750 0.7500 0.1250
Sm 0.5953 0.6133 0.4128
Sm 0.8175 0.9128 0.2995
C 0.6250 0.7500 0.8750
Sm 0.0872 0.9047 0.3867
Sm 0.1133 0.7005 0.5180
Sb 0.7500 0.3750 0.1250
Sm 0.5180 0.3175 0.9047
Sm 0.4047 0.3867 0.5872
Sm 0.4128 0.1133 0.5953
Sm 0.1133 0.4128 0.0953
C 0.1250 0.7500 0.3750
Sm 0.9128 0.8175 0.7995
C 0.0000 0.5000 0.0000
Sm 0.2005 0.6825 0.0872
Sb 0.1250 0.8750 0.7500
Sm 0.6825 0.2005 0.5872
Sb 0.2500 0.6250 0.8750
Sm 0.3867 0.4047 0.0872
Sm 0.4820 0.6825 0.0953
C 0.2500 0.8750 0.1250
C 0.7500 0.1250 0.8750
Sm 0.5872 0.7005 0.6825
C 0.6250 0.8750 0.2500
Sm 0.0180 0.4047 0.8175
Sm 0.9128 0.0953 0.6133
Sm 0.3175 0.5180 0.4047
Sm 0.4820 0.7995 0.8867
C 0.2500 0.3750 0.6250
C 0.7500 0.6250 0.3750
Sm 0.7005 0.1133 0.0180
Sm 0.1825 0.0872 0.7005
Sm 0.1825 0.0953 0.9820
C 0.5000 0.5000 0.0000
Sm 0.2005 0.5180 0.6133
Sm 0.9820 0.3867 0.2995
Sm 0.9047 0.0872 0.8867
Sb 0.6250 0.3750 0.7500
Sm 0.9820 0.5953 0.1825
Sm 0.2995 0.8867 0.9820
Sm 0.9047 0.8175 0.5180
Sm 0.4128 0.2995 0.3175
Sm 0.3867 0.9820 0.7995
Sm 0.4047 0.0180 0.3175
Sm 0.7005 0.5872 0.1825
C 0.5000 0.0000 0.5000
C 0.1250 0.3750 0.2500
Sm 0.0953 0.9128 0.1133
Sm 0.7995 0.4820 0.3867
Sm 0.7995 0.3175 0.9128
Sb 0.1250 0.2500 0.8750
Sm 0.5953 0.9820 0.6825
Sm 0.6133 0.5953 0.9128
C 0.0000 0.0000 0.0000
Sm 0.2995 0.4128 0.8175
Sb 0.8750 0.1250 0.2500
C 0.5000 0.5000 0.5000
Sb 0.7500 0.8750 0.6250
Sm 0.0953 0.1825 0.4820
Sm 0.0180 0.6133 0.7005
Sm 0.5872 0.8867 0.4047
C 0.0000 0.0000 0.5000
Sm 0.6825 0.4820 0.5953
C 0.8750 0.6250 0.7500
Sm 0.5180 0.2005 0.1133
Sb 0.2500 0.1250 0.3750
C 0.0000 0.5000 0.5000
Sb 0.3750 0.6250 0.2500
C 0.8750 0.2500 0.6250
Sb 0.6250 0.2500 0.3750


Record 4
The following is a PBE calculation of Sm5Sb2C after structural relaxation, from the Alexandria database.

Unit cell a=5.6948 b=5.8891 c=15.4067 alpha=90.00 beta=90.00 gamma=118.91
Fractional coordinates of all 16 atoms:
Sm 0.5948 0.1897 0.6314
Sm 0.0956 0.1911 0.1315
Sb 0.7537 0.5074 0.0572
Sb 0.2463 0.4926 0.5572
Sm 0.7502 0.5004 0.2500
Sm 0.2498 0.4996 0.7500
Sm 0.4052 0.8103 0.1314
Sm 0.9044 0.8089 0.6315
Sb 0.7537 0.5074 0.4428
Sm 0.4052 0.8103 0.3686
Sm 0.0956 0.1911 0.3685
Sm 0.5948 0.1897 0.8686
Sm 0.9044 0.8089 0.8685
C 0.2513 0.5026 0.2500
C 0.7487 0.4974 0.7500
Sb 0.2463 0.4926 0.9428


Record 5
The following is a PBE calculation of Sm3SbC after structural relaxation, from the Alexandria database.

Unit cell a=4.0383 b=8.4809 c=14.6480 alpha=90.00 beta=90.00 gamma=90.00
Fractional coordinates of all 20 atoms:
Sb 0.7500 0.0839 0.6735
Sm 0.7500 0.9785 0.9001
Sm 0.2500 0.7908 0.7028
Sm 0.2500 0.6750 0.9938
C 0.2500 0.6603 0.5566
C 0.7500 0.8397 0.0566
Sm 0.7500 0.7092 0.2028
Sm 0.7500 0.8250 0.4938
C 0.7500 0.3397 0.4434
Sm 0.7500 0.4785 0.5999
C 0.2500 0.1603 0.9434
Sm 0.7500 0.2092 0.2972
Sm 0.2500 0.0215 0.0999
Sb 0.7500 0.5839 0.8265
Sm 0.2500 0.1750 0.5062
Sb 0.2500 0.9161 0.3265
Sm 0.2500 0.5215 0.4001
Sb 0.2500 0.4161 0.1735
Sm 0.7500 0.3250 0.0062
Sm 0.2500 0.2908 0.7972


Record 6
The following is a PBE calculation of Sm3SbC after structural relaxation, from the Alexandria database.

Unit cell a=5.0046 b=5.0046 c=5.0046 alpha=90.00 beta=90.00 gamma=90.00
Fractional coordinates of all 5 atoms:
Sm 0.0000 0.0000 0.5000
Sm 0.0000 0.5000 0.0000
C 0.0000 0.0000 0.0000
Sb 0.5000 0.5000 0.5000
Sm 0.5000 0.0000 0.0000


Record 7
The following is a PBE calculation of Sm7Sb2C2 after structural relaxation, from the Alexandria database.

Unit cell a=3.5824 b=9.6528 c=9.6528 alpha=61.96 beta=79.31 gamma=79.31
Fractional coordinates of all 11 atoms:
Sm 0.8401 0.3838 0.9360
Sm 0.3656 0.7276 0.5413
Sm 0.5000 0.0178 0.9822
Sb 0.0000 0.7578 0.2422
Sm 0.8077 0.0920 0.2925
Sm 0.1923 0.7075 0.9080
Sm 0.1599 0.0640 0.6162
Sm 0.6344 0.4587 0.2724
C 0.2371 0.4154 0.1104
C 0.7629 0.8896 0.5846
Sb 0.5000 0.3397 0.6603


Record 8
The following is a PBE calculation of Sm4SnSbC after structural relaxation, from the Alexandria database.

Unit cell a=6.9776 b=6.9758 c=8.8013 alpha=90.00 beta=113.35 gamma=90.00
Fractional coordinates of all 14 atoms:
C 0.2503 0.7500 0.5007
Sm 0.0000 0.5000 0.5000
Sb 0.3904 0.2500 0.7809
Sn 0.1094 0.2500 0.2187
Sm 0.5909 0.2500 0.1819
Sm 0.0900 0.7500 0.1799
Sm 0.0000 0.0000 0.5000
Sn 0.8906 0.7500 0.7813
Sm 0.5000 0.5000 0.5000
Sb 0.6096 0.7500 0.2191
Sm 0.4091 0.7500 0.8181
Sm 0.5000 0.0000 0.5000
C 0.7497 0.2500 0.4993
Sm 0.9100 0.2500 0.8201


| no. | size of the total moment (Bohr magnetons per cell) | uncorrected formation energy (eV/atom) |
| --- | --- | --- |
| 1 | 0.76 | -0.404 |
| 2 | 0.00 | -0.819 |
| 3 | 0.00 | -0.347 |
| 4 | 0.00 | -0.444 |
| 5 | 2.14 | -0.615 |
| 6 | 0.00 | -0.555 |
| 7 | 0.00 | -0.329 |
| 8 | 0.00 | -0.665 |